The following is a DFT calculation (PBE+U) of Ac2YWO8 after structural relaxation.

The calculation puts the calculated total energy at -7.849 eV/atom. The calculated density is 6.924 g/cm3.

Lattice parameters (Å, degrees): 5.369 7.104 5.376 90.00 91.34 90.00
Fractional coordinates of all 12 atoms:
Ac 0.000 0.245 0.000
Ac 0.000 0.755 0.000
Y 0.500 0.500 0.500
W 0.500 0.000 0.500
O 0.205 0.500 0.206
O 0.241 0.000 0.244
O 0.331 0.209 0.671
O 0.331 0.791 0.671
O 0.669 0.209 0.329
O 0.669 0.791 0.329
O 0.759 0.000 0.756
O 0.795 0.500 0.794